Record 1
Material: AlCdSb3
Method: DFT, GGA-PBE
State: relaxed

Size of the total moment ... 0.0 μB/cell
ΔE_f (raw) ... 0.52 eV/atom
Total DFT energy (no corrections) ... -2.889 eV/atom
Excess energy over the best structure of this formula in the dataset ... 0.0 meV per atom

Unit cell a=5.312 b=5.312 c=5.312 alpha=90.00 beta=90.00 gamma=90.00
Fractional coordinates of all 5 atoms:
Al1 0.000 0.000 0.000
Sb1 0.000 0.500 0.000
Sb2 0.500 0.000 0.000
Cd1 0.500 0.500 0.500
Sb3 0.000 0.000 0.500

Record 2
Material: Ho2Ga3Ag
Method: DFT, GGA-PBE
State: relaxed

Size of the total moment ... 0.0 μB/cell
Calculated formation energy ... -566 meV/atom
Total DFT energy (no corrections) ... -4.081 eV/atom

Unit cell a=5.736 b=5.736 c=8.546 alpha=105.42 beta=105.42 gamma=101.98
Fractional coordinates of all 12 atoms:
Ho1 0.750 0.250 0.500
Ho2 0.250 0.750 0.500
Ga1 0.165 0.671 0.835
Ho3 0.255 0.255 0.000
Ga2 0.164 0.164 0.328
Ag1 0.332 0.332 0.664
Ho4 0.745 0.745 0.000
Ga3 0.835 0.329 0.165
Ga4 0.671 0.165 0.835
Ga5 0.836 0.836 0.672
Ga6 0.329 0.835 0.165
Ag2 0.668 0.668 0.336

Record 3
Material: Cs3Cd4Hg4
Method: DFT, GGA-PBE
State: relaxed

Size of the total moment ... 0.0 μB/cell
Calculated formation energy ... -138 meV/atom
Total DFT energy (no corrections) ... -0.813 eV/atom
Excess energy over the best structure of this formula in the dataset ... 16.7 meV per atom

Unit cell a=5.434 b=5.405 c=15.099 alpha=79.76 beta=79.84 gamma=89.96
Fractional coordinates of all 11 atoms:
Cs1 0.849 0.347 0.305
Cd1 0.300 0.794 0.409
Cd2 0.452 0.447 0.103
Hg1 0.404 0.897 0.202
Hg2 0.596 0.103 0.798
Cs2 0.000 0.000 0.000
Cd3 0.548 0.553 0.897
Cs3 0.151 0.653 0.695
Cd4 0.700 0.206 0.591
Hg3 0.243 0.247 0.503
Hg4 0.757 0.753 0.497